No. 1
VASP calculation (PBE) on crystalline TlCuRuCl6 at its relaxed geometry.

Calculated values
The magnetic moment comes out at 2.04 μB/f.u. Its space group is P312. The crystal system is trigonal. The total energy comes out at -0.1324 hartree per atom. Its calculated density is 3.90 g/cm³. The volume is 27.5 Å³/atom. The calculation puts the energy relative to the elements, uncorrected at -0.62 eV per atom.

Cell lengths 6.348, 6.348, 7.103 Å; angles 90.00, 90.00, 59.99 degrees
Site moments in Bohr magnetons follow the coordinates.
Positions (direct):
1 Tl 0.000 0.000 0.000  0.01
2 Cu 0.667 0.667 0.500  0.40
3 Ru 0.333 0.333 0.500  1.04
4 Cl 0.014 0.358 0.312  0.07
5 Cl 0.358 0.014 0.688  0.07
6 Cl 0.627 0.358 0.688  0.07
7 Cl 0.014 0.627 0.688  0.07
8 Cl 0.358 0.627 0.312  0.07
9 Cl 0.627 0.014 0.312  0.07

No. 2
VASP calculation (PBE) on crystalline TlCu2RuCl8 at its relaxed geometry.

Calculated values
The magnetic moment comes out at 3.08 μB/f.u. Its space group is P-1. The crystal system is triclinic. The total energy comes out at -0.1280 hartree per atom. Its calculated density is 3.60 g/cm³. The volume is 27.5 Å³/atom. The calculation puts the energy relative to the elements, uncorrected at -0.60 eV per atom.

Cell lengths 6.097, 6.930, 8.903 Å; angles 62.21, 86.70, 93.98 degrees
Site moments in Bohr magnetons follow the coordinates.
Positions (direct):
1 Tl 0.000 0.000 0.500  0.03
2 Cu 0.520 0.336 0.686  0.33
3 Cu 0.480 0.664 0.314  0.33
4 Ru 0.000 0.000 0.000  1.41
5 Cl 0.111 0.747 0.267  0.05
6 Cl 0.664 0.775 0.057  0.08
7 Cl 0.845 0.190 0.128  0.12
8 Cl 0.889 0.253 0.733  0.05
9 Cl 0.336 0.225 0.943  0.08
10 Cl 0.155 0.810 0.872  0.12
11 Cl 0.518 0.717 0.545  0.09
12 Cl 0.482 0.283 0.455  0.09